Entry 1:
VASP calculation (PBE) on a relaxed structure of La2Mg4NiPd.

Properties
- total DFT energy (no corrections) (eV per cell) = -59.973

Unit cell a=8.343 b=4.278 c=10.390 alpha=90.00 beta=90.00 gamma=90.00
Space group Amm2 (No. 38)
Symmetry-distinct sites (fractional):
La  0.000  0.000  0.000 (multiplicity 2)
La  0.500  0.000  0.120 (multiplicity 2)
Mg  0.200  0.000  0.714 (multiplicity 4)
Mg  0.310  0.000  0.406 (multiplicity 4)
Ni  0.500  0.000  0.834 (multiplicity 2)
Pd  0.000  0.000  0.285 (multiplicity 2)

Entry 2:
VASP calculation (PBE) on a relaxed structure of TcMo3Pb.

Properties
- total DFT energy (no corrections) (eV per cell) = -39.294

Unit cell a=4.760 b=4.760 c=4.760 alpha=90.00 beta=90.00 gamma=90.00
Space group Pm-3m (No. 221)
Symmetry-distinct sites (fractional):
Tc  0.000  0.000  0.000 (multiplicity 1)
Mo  0.000  0.000  0.500 (multiplicity 3)
Pb  0.500  0.500  0.500 (multiplicity 1)